The following is a DFT calculation (PBE) of Er2TmCu4Ge4 after structural relaxation.

```
Er2TmCu4Ge4
1.0
-2.083 3.315 6.912
2.083 -3.315 6.912
2.083 3.315 -6.912
Er Tm Cu Ge
2 1 4 4
Direct
0.129 0.129 0.000
0.871 0.871 0.000
0.500 0.000 0.500
0.139 0.330 0.809
0.479 0.670 0.809
0.521 0.330 0.191
0.861 0.670 0.191
0.193 0.500 0.693
0.284 0.784 0.500
0.716 0.216 0.500
0.807 0.500 0.307
```

Calculated values
For the total energy, the calculation gives -4.892 eV/atom. Its space group is Immm.